Material: RbCo2AgF8
Method: DFT, PBE+U
State: optimized geometry

- space group = P-3m1 (164)
- density of states at the Fermi level (states/eV per atom) = 0.853
- DFT total energy (eV per atom) = -4.246

Cell: 6.106 6.106 7.581 Å, 90.00 90.00 120.00°
Atoms (fractional coordinates):
F: 0.168 0.832 0.713
F: 0.664 0.832 0.713
Co: 0.333 0.667 0.637
Rb: 0.000 0.000 0.000
F: 0.333 0.667 0.399
F: 0.336 0.168 0.287
F: 0.832 0.168 0.287
Ag: 0.000 0.000 0.500
F: 0.168 0.336 0.713
Co: 0.667 0.333 0.363
F: 0.832 0.664 0.287
F: 0.667 0.333 0.601